Here is a relaxed NbFe2SiF crystal from Alexandria via LeMat-Bulk. Energies are from PBE with a Hubbard U.

Total magnetic moment in μB/atom: 0.8178
Total DFT energy (no corrections) in eV per cell: -26.50

CIF file:
```
data_NbFe2SiF
_cell_length_a 4.755
_cell_length_b 4.755
_cell_length_c 3.607
_cell_angle_alpha 90.00
_cell_angle_beta 90.00
_cell_angle_gamma 90.00
_space_group_name_H-M_alt 'P 4/m m m'
_space_group_IT_number 123
_space_group_name_Hall '-P 4 2'
loop_
_atom_site_label
_atom_site_type_symbol
_atom_site_fract_x
_atom_site_fract_y
_atom_site_fract_z
Nb1 Nb 0.000 0.000 0.000
Fe1 Fe 0.000 0.500 0.500
Si1 Si 0.500 0.500 0.500
F1 F 0.500 0.500 0.000
```